# 1
VASP calculation (PBE-GGA) on an optimized crystal structure of LiFeCuTeSe2.

Geometry as extended XYZ:
```
12
Lattice="1.747 -6.552 0.000 1.747 6.552 0.000 0.000 0.000 9.910" Properties=species:S:1:pos:R:3 pbc="T T T"
Se 1.747 -1.715 4.532
Se 1.747 1.715 9.487
Se 1.747 -1.715 0.423
Se 1.747 1.715 5.378
Fe 0.000 0.000 4.955
Fe 0.000 0.000 0.000
Li 1.747 3.837 2.478
Li 1.747 -3.837 7.433
Te 1.747 -5.224 2.478
Te 1.747 5.224 7.433
Cu 1.747 -0.571 2.478
Cu 1.747 0.571 7.433
```

## Properties
- Total energy: -4.31 eV per atom
- Calculated volume: 18.905 A^3/atom
- Total magnetic moment: 4.22 Bohr magnetons per cell



# 2
VASP calculation (PBE-GGA) on an optimized crystal structure of LiFeCuTe2Se.

Geometry as extended XYZ:
```
12
Lattice="1.865 -6.655 0.000 1.865 6.655 0.000 0.000 0.000 9.931" Properties=species:S:1:pos:R:3 pbc="T T T"
Li 1.865 -3.331 2.483
Li 1.865 3.331 7.448
Te 1.865 4.758 4.615
Te 1.865 -4.758 5.315
Te 1.865 4.758 0.350
Te 1.865 -4.758 9.581
Fe 1.865 0.000 4.965
Fe 1.865 0.000 0.000
Se 1.865 0.991 2.483
Se 1.865 -0.991 7.448
Cu 1.865 6.146 2.483
Cu 1.865 -6.146 7.448
```

## Properties
- Total energy: -4.16 eV per atom
- Calculated volume: 20.543 A^3/atom
- Total magnetic moment: 5.10 Bohr magnetons per cell



# 3
VASP calculation (PBE-GGA) on an optimized crystal structure of LiFeCuSn.

Geometry as extended XYZ:
```
4
Lattice="2.239 0.570 3.572 2.582 3.359 0.379 -1.005 3.166 2.658" Properties=species:S:1:pos:R:3 pbc="T T T"
Li 2.862 5.322 4.957
Sn 0.000 0.000 0.000
Cu 1.908 3.548 3.304
Fe 0.954 1.774 1.652
```

## Properties
- Total energy: -4.46 eV per atom
- Calculated volume: 13.610 A^3/atom
- Total magnetic moment: 2.06 Bohr magnetons per cell



# 4
VASP calculation (PBE-GGA) on an optimized crystal structure of LiFeCuTe3.

Geometry as extended XYZ:
```
12
Lattice="-0.541 6.518 2.377 -3.369 4.631 3.954 6.077 -2.416 8.007" Properties=species:S:1:pos:R:3 pbc="T T T"
Te 1.847 2.736 6.587
Te 0.321 5.996 7.751
Te -2.273 7.027 4.335
Te 4.214 -0.831 6.562
Te 4.440 1.705 10.004
Te -2.046 9.564 7.776
Fe 0.000 0.000 0.000
Fe 3.038 -1.208 4.003
Cu 2.779 3.260 8.886
Cu -0.612 5.472 5.453
Li 1.521 6.846 10.923
Li 0.646 1.886 3.416
```

## Properties
- Total energy: -4.06 eV per atom
- Calculated volume: 21.642 A^3/atom
- Total magnetic moment: 4.36 Bohr magnetons per cell



# 5
VASP calculation (PBE-GGA) on an optimized crystal structure of LiZnFeCu.

Geometry as extended XYZ:
```
4
Lattice="-3.252 -1.454 2.076 -3.776 1.442 -0.811 -2.758 -2.400 -1.907" Properties=species:S:1:pos:R:3 pbc="T T T"
Fe 0.000 0.000 0.000
Zn -2.446 -0.603 -0.161
Cu -7.339 -1.809 -0.482
Li -4.893 -1.206 -0.321
```

## Properties
- Total energy: -3.72 eV per atom
- Calculated volume: 12.389 A^3/atom
- Total magnetic moment: 2.54 Bohr magnetons per cell



# 6
VASP calculation (PBE-GGA) on an optimized crystal structure of LiZn2FeCu4.

Geometry as extended XYZ:
```
8
Lattice="4.071 0.000 0.000 0.000 4.071 0.000 0.000 0.000 5.801" Properties=species:S:1:pos:R:3 pbc="T T T"
Cu 0.000 2.035 4.365
Cu 0.000 2.035 1.436
Cu 2.035 0.000 4.365
Cu 2.035 0.000 1.436
Zn 2.035 2.035 2.900
Zn 0.000 0.000 0.000
Li 0.000 0.000 2.900
Fe 2.035 2.035 0.000
```

## Properties
- Total energy: -3.46 eV per atom
- Calculated volume: 12.015 A^3/atom
- Total magnetic moment: 2.28 Bohr magnetons per cell



# 7
VASP calculation (PBE-GGA) on an optimized crystal structure of LuFeCuMo.

Geometry as extended XYZ:
```
4
Lattice="0.000 3.147 3.147 3.147 0.000 3.147 3.147 3.147 0.000" Properties=species:S:1:pos:R:3 pbc="T T T"
Fe 3.147 3.147 3.147
Mo 0.000 0.000 0.000
Cu 4.721 4.721 4.721
Lu 1.574 1.574 1.574
```

## Properties
- Total energy: -6.29 eV per atom
- Calculated volume: 15.588 A^3/atom
- Total magnetic moment: 2.15 Bohr magnetons per cell



# 8
VASP calculation (PBE-GGA) on an optimized crystal structure of LuFeCuMo.

Geometry as extended XYZ:
```
4
Lattice="2.838 -3.056 -1.390 0.396 -3.791 2.191 -1.488 -3.734 -1.781" Properties=species:S:1:pos:R:3 pbc="T T T"
Cu 1.310 -7.935 -0.735
Lu 0.873 -5.290 -0.490
Fe 0.000 0.000 0.000
Mo 0.437 -2.645 -0.245
```

## Properties
- Total energy: -6.58 eV per atom
- Calculated volume: 15.018 A^3/atom
- Total magnetic moment: 0.00 Bohr magnetons per cell



# 9
VASP calculation (PBE-GGA) on an optimized crystal structure of LuFeCuMo.

Geometry as extended XYZ:
```
4
Lattice="0.000 3.143 3.143 3.143 0.000 3.143 3.143 3.143 0.000" Properties=species:S:1:pos:R:3 pbc="T T T"
Mo 0.000 0.000 0.000
Fe 1.571 1.571 1.571
Lu 3.143 3.143 3.143
Cu 4.714 4.714 4.714
```

## Properties
- Total energy: -6.65 eV per atom
- Calculated volume: 15.524 A^3/atom
- Total magnetic moment: 0.20 Bohr magnetons per cell



# 10
VASP calculation (PBE-GGA) on an optimized crystal structure of Lu4FeCuN2.

Geometry as extended XYZ:
```
8
Lattice="3.336 0.000 0.000 -1.668 2.889 0.000 0.000 0.000 14.113" Properties=species:S:1:pos:R:3 pbc="T T T"
Lu 1.668 0.963 2.183
Lu 1.668 0.963 11.930
Lu 0.000 0.000 9.202
Lu 0.000 0.000 4.911
N 0.000 1.926 3.514
N 0.000 1.926 10.599
Cu 0.000 0.000 0.000
Fe 1.668 0.963 7.056
```

## Properties
- Total energy: -6.59 eV per atom
- Calculated volume: 17.001 A^3/atom
- Total magnetic moment: 2.30 Bohr magnetons per cell



# 11
VASP calculation (PBE-GGA) on an optimized crystal structure of LuFeCuSb.

Geometry as extended XYZ:
```
4
Lattice="2.593 -2.930 2.645 -1.994 -3.812 1.948 1.073 -4.309 -1.609" Properties=species:S:1:pos:R:3 pbc="T T T"
Sb 0.000 0.000 0.000
Cu 1.254 -8.288 2.238
Lu 0.418 -2.763 0.746
Fe 0.836 -5.525 1.492
```

## Properties
- Total energy: -5.03 eV per atom
- Calculated volume: 18.620 A^3/atom
- Total magnetic moment: 2.19 Bohr magnetons per cell



# 12
VASP calculation (PBE-GGA) on an optimized crystal structure of LuFeCuSb.

Geometry as extended XYZ:
```
4
Lattice="-2.241 -3.900 0.811 -2.896 -0.281 3.525 -4.501 -0.248 -0.754" Properties=species:S:1:pos:R:3 pbc="T T T"
Fe -2.410 -1.107 0.895
Lu -4.819 -2.215 1.791
Cu -7.229 -3.322 2.686
Sb 0.000 0.000 0.000
```

## Properties
- Total energy: -5.27 eV per atom
- Calculated volume: 16.881 A^3/atom
- Total magnetic moment: 1.45 Bohr magnetons per cell



# 13
VASP calculation (PBE-GGA) on an optimized crystal structure of LuFeCuSb.

Geometry as extended XYZ:
```
4
Lattice="0.000 3.310 3.310 3.310 0.000 3.310 3.310 3.310 0.000" Properties=species:S:1:pos:R:3 pbc="T T T"
Sb 0.000 0.000 0.000
Cu 3.310 3.310 3.310
Fe 4.966 4.966 4.966
Lu 1.655 1.655 1.655
```

## Properties
- Total energy: -5.19 eV per atom
- Calculated volume: 18.140 A^3/atom
- Total magnetic moment: 2.46 Bohr magnetons per cell